1.
Computed, not measured: a crystal of Re3Br8Cl relaxed with PBEsol at the SCAN level of DFT.

Unit cell a=16.4804 b=10.5745 c=9.7083 alpha=90.00 beta=119.72 gamma=90.00
Space group Cm (No. 8)
Asymmetric unit:
Re (0.0000, 0.0000, 0.0000)
Re (0.0946, 0.3840, 0.5232)
Re (0.1168, 0.1159, 0.2328)
Re (0.2104, 0.5000, 0.7556)
Br (0.0251, 0.1580, 0.3729)
Br (0.0724, 0.0000, 0.8382)
Br (0.1377, 0.5000, 0.9170)
Br (0.1881, 0.3408, 0.3870)
Br (0.2316, 0.1586, 0.1555)
Br (0.2378, 0.0000, 0.4784)
Br (0.3456, 0.5000, 0.7031)
Br (0.3646, 0.5000, 0.0529)
Br (0.4747, 0.0000, 0.2773)
Br (0.4793, 0.1586, 0.5993)
Br (0.4954, 0.2599, 0.9963)
Cl (0.2108, 0.2733, 0.7527)

## Properties
Calculated volume, A^3/atom: 30.6
ΔE_f (raw), eV/f.u.: -5.0
Total magnetic moment, μB/cell: 0.000


2.
Computed, not measured: a crystal of ZrAsHPd2 relaxed with PBEsol at the SCAN level of DFT.

Unit cell a=4.5402 b=4.5402 c=5.0514 alpha=90.00 beta=90.00 gamma=90.00
Space group P4/mmm (No. 123)
Asymmetric unit:
Zr (0.0000, 0.0000, 0.0000)
As (0.0000, 0.0000, 0.5000)
H (0.5000, 0.5000, 0.0000)
Pd (0.0000, 0.5000, 0.5000)

## Properties
VASP energy, eV/atom: -23.43
Calculated volume, A^3/atom: 20.8
Total magnetic moment, μB/cell: 0.001


3.
Computed, not measured: a crystal of AsPtBr relaxed with PBEsol at the SCAN level of DFT.

Unit cell a=6.2935 b=6.2935 c=6.2935 alpha=90.00 beta=90.00 gamma=90.00
Space group F-43m (No. 216)
Asymmetric unit:
As (0.0000, 0.0000, 0.0000)
Pt (0.2500, 0.2500, 0.7500)
Br (0.0000, 0.0000, 0.5000)

## Properties
Polymorph energy (0 for the lowest one), eV per formula unit: 2.18
Calculated volume, A^3/atom: 20.8
ΔE_f (raw), eV/f.u.: 1.0
Total magnetic moment, μB/cell: 0.001


4.
Computed, not measured: a crystal of ScP2ClF relaxed with PBEsol at the SCAN level of DFT.

Unit cell a=4.9747 b=4.9747 c=4.7545 alpha=90.00 beta=90.00 gamma=90.00
Space group P4/mmm (No. 123)
Asymmetric unit:
Sc (0.0000, 0.0000, 0.0000)
P (0.0000, 0.5000, 0.0000)
Cl (0.0000, 0.0000, 0.5000)
F (0.5000, 0.5000, 0.5000)

## Properties
Calculated volume, A^3/atom: 23.5
ΔE_f (raw), eV/f.u.: -0.8
Total magnetic moment, μB/cell: 1.643


5.
Computed, not measured: a crystal of Hg2SbRu relaxed with PBEsol at the SCAN level of DFT.

Unit cell a=3.1028 b=3.1028 c=29.3627 alpha=90.00 beta=90.00 gamma=120.00
Space group R-3m (No. 166, hexagonal axes)
Asymmetric unit:
Hg (0.0000, 0.0000, 0.2397)
Sb (0.0000, 0.0000, 0.0000)
Ru (0.0000, 0.0000, 0.5000)

## Properties
Calculated volume, A^3/atom: 20.4
ΔE_f (raw), eV/f.u.: 2.3
Total magnetic moment, μB/cell: 5.737


6.
Computed, not measured: a crystal of SrZrTl2Tc relaxed with PBEsol at the SCAN level of DFT.

Unit cell a=5.3601 b=5.3601 c=4.8056 alpha=90.00 beta=90.00 gamma=90.00
Space group P4/mmm (No. 123)
Asymmetric unit:
Sr (0.0000, 0.0000, 0.0000)
Zr (0.5000, 0.5000, 0.0000)
Tl (0.0000, 0.5000, 0.5000)
Tc (0.5000, 0.5000, 0.5000)

## Properties
DFT formation energy, eV/atom: 0.096
Calculated volume, A^3/atom: 27.6
Total magnetic moment, μB/cell: 0.000


7.
Computed, not measured: a crystal of NiAsRu2 relaxed with PBEsol at the SCAN level of DFT.

Unit cell a=2.8001 b=2.8001 c=23.4074 alpha=90.00 beta=90.00 gamma=120.00
Space group R-3m (No. 166, hexagonal axes)
Asymmetric unit:
Ni (0.0000, 0.0000, 0.0000)
As (0.0000, 0.0000, 0.5000)
Ru (0.0000, 0.0000, 0.2476)

## Properties
DFT formation energy, eV/atom: 0.209
Calculated volume, A^3/atom: 13.2
Total magnetic moment, μB/cell: 0.016


8.
Computed, not measured: a crystal of BaTcCl2 relaxed with PBEsol at the SCAN level of DFT.

Unit cell a=3.5621 b=3.5621 c=7.1901 alpha=90.00 beta=90.00 gamma=90.00
Space group P4mm (No. 99)
Asymmetric unit:
Ba (0.0000, 0.0000, 0.0000)
Tc (0.5000, 0.5000, 0.3655)
Cl (0.0000, 0.0000, 0.4184)
Cl (0.5000, 0.5000, 0.7440)

## Properties
Polymorph energy (0 for the lowest one), eV per formula unit: 0.00
Calculated volume, A^3/atom: 22.8
ΔE_f (raw), eV/f.u.: -2.1
Total magnetic moment, μB/cell: 2.517


9.
Computed, not measured: a crystal of ZrTaPb relaxed with PBEsol at the SCAN level of DFT.

Unit cell a=3.0495 b=3.0495 c=13.7891 alpha=90.00 beta=90.00 gamma=90.00
Space group I4mm (No. 107)
Asymmetric unit:
Zr (0.0000, 0.0000, 0.0000)
Ta (0.0000, 0.0000, 0.3438)
Pb (0.0000, 0.0000, 0.6784)

## Properties
Polymorph energy (0 for the lowest one), eV per formula unit: 0.49
DFT formation energy, eV/atom: 0.192
Calculated volume, A^3/atom: 21.4
Total magnetic moment, μB/cell: 0.001


10.
Computed, not measured: a crystal of LiReAs2 relaxed with PBEsol at the SCAN level of DFT.

Unit cell a=7.9499 b=3.0386 c=5.2900 alpha=90.00 beta=99.99 gamma=90.00
Space group C2/m (No. 12)
Asymmetric unit:
Li (0.0000, 0.0000, 0.0000)
Re (0.0000, 0.5000, 0.5000)
As (0.2347, 0.0000, 0.7238)

## Properties
Polymorph energy (0 for the lowest one), eV per formula unit: 0.74
DFT formation energy, eV/atom: -0.040
Calculated volume, A^3/atom: 15.7
Total magnetic moment, μB/cell: 0.000


11.
Computed, not measured: a crystal of ScCrRu2 relaxed with PBEsol at the SCAN level of DFT.

Unit cell a=2.7492 b=2.7492 c=26.0446 alpha=90.00 beta=90.00 gamma=120.00
Space group R3m (No. 160, hexagonal axes)
Asymmetric unit:
Sc (0.0000, 0.0000, 0.0000)
Cr (0.0000, 0.0000, 0.2474)
Ru (0.0000, 0.0000, 0.5064)
Ru (0.0000, 0.0000, 0.7564)

## Properties
DFT formation energy, eV/atom: 0.349
Calculated volume, A^3/atom: 14.2
Total magnetic moment, μB/cell: 0.018


12.
Computed, not measured: a crystal of TlReAg relaxed with PBEsol at the SCAN level of DFT.

Unit cell a=2.7914 b=2.7914 c=14.0137 alpha=90.00 beta=90.00 gamma=90.00
Space group I4mm (No. 107)
Asymmetric unit:
Tl (0.0000, 0.0000, 0.0000)
Re (0.0000, 0.0000, 0.3299)
Ag (0.0000, 0.0000, 0.6830)

## Properties
Polymorph energy (0 for the lowest one), eV per formula unit: 0.00
DFT formation energy, eV/atom: 0.951
Calculated volume, A^3/atom: 18.2
Total magnetic moment, μB/cell: 0.000


What is the formula in the fifth record?
Hg2SbRu


Among the records above, which one has the highest calculated volume?
Re3Br8Cl


Which value of calculated volume does entry 9 give?
21.4 A^3/atom